# CeHo3Ag4 PBE-GGA relaxed
# * formation energy from the elements: -191 kJ/mol of formula units
# * energy: -66.11 eV per cell
# * spin magnetization: 2.17 Bohr magnetons per cell
data_CeHo3Ag4
_cell_length_a 10.312
_cell_length_b 7.319
_cell_length_c 5.155
_cell_angle_alpha 90.00
_cell_angle_beta 90.00
_cell_angle_gamma 90.00
_space_group_name_H-M_alt 'P m m a'
_space_group_IT_number 51
_space_group_name_Hall '-P 2a 2a'
loop_
_atom_site_label
_atom_site_type_symbol
_atom_site_fract_x
_atom_site_fract_y
_atom_site_fract_z
_atom_site_occupancy
Ce1 Ce 0.000 0.000 0.000 1
Ho1 Ho 0.000 0.500 0.000 1
Ho2 Ho 0.250 0.000 0.499 1
Ho3 Ho 0.250 0.500 0.499 1
Ag1 Ag 0.000 0.261 0.500 1
Ag2 Ag 0.250 0.261 0.999 1